A plane-wave DFT calculation with PBE-GGA was carried out for crystalline Zn2CuCl at its relaxed geometry.

It has space group Fm-3m (No. 225), with a = 6.630 Å, b = 6.630 Å, c = 6.630 Å, α = 90.00°, β = 90.00° and γ = 90.00°. The inequivalent atoms are Zn at (0.250, 0.250, 0.250), Cu at (0.000, 0.000, 0.000) and Cl at (0.000, 0.000, 0.500).

Its density of states at the Fermi level is 17.1 states/eV/cell. The calculation puts the total energy at -1.71 eV per atom. The value obtained for the energy above the lowest structure with this stoichiometry is 2.07 eV/f.u.